Ho6Nb4Al43 | PBE | relaxed

- formation energy from the elements (eV/atom) = -0.335
- symmetry = P6_3/mcm

The structure in POSCAR format:
```
Ho6Nb4Al43
1.0
11.117 0.000 0.000
-5.559 9.628 0.000
0.000 0.000 17.769
Al Nb Ho
86 8 12
Direct
0.256 0.000 0.971
0.148 0.148 0.250
0.605 0.842 0.337
0.555 0.149 0.250
0.753 0.506 0.000
0.333 0.667 0.125
0.333 0.667 0.375
0.744 0.000 0.029
0.159 0.000 0.115
0.159 0.159 0.885
0.763 0.158 0.163
0.395 0.237 0.163
0.237 0.395 0.337
0.237 0.395 0.163
0.841 0.000 0.885
0.256 0.256 0.029
0.852 0.000 0.250
0.763 0.605 0.663
0.841 0.000 0.615
0.395 0.237 0.337
0.247 0.494 0.500
0.594 0.149 0.750
0.148 0.000 0.750
0.667 0.333 0.625
0.445 0.594 0.250
0.852 0.852 0.750
0.605 0.842 0.163
0.000 0.159 0.115
0.000 0.256 0.529
0.000 0.744 0.029
0.149 0.555 0.250
0.753 0.506 0.500
0.851 0.445 0.750
0.851 0.406 0.250
0.605 0.763 0.837
0.000 0.148 0.750
0.256 0.000 0.529
0.159 0.000 0.385
0.000 0.159 0.385
0.506 0.753 0.000
0.000 0.256 0.971
0.395 0.158 0.663
0.667 0.333 0.125
0.237 0.842 0.663
0.763 0.605 0.837
0.149 0.594 0.750
0.000 0.841 0.615
0.842 0.237 0.837
0.237 0.842 0.837
0.494 0.247 0.500
0.406 0.555 0.750
0.506 0.753 0.500
0.841 0.841 0.385
0.605 0.763 0.663
0.333 0.667 0.875
0.667 0.333 0.375
0.744 0.744 0.971
0.555 0.406 0.750
0.744 0.000 0.471
0.159 0.159 0.615
0.247 0.753 0.500
0.406 0.851 0.250
0.445 0.851 0.750
0.753 0.247 0.500
0.158 0.395 0.663
0.158 0.395 0.837
0.158 0.763 0.337
0.763 0.158 0.337
0.000 0.841 0.885
0.842 0.237 0.663
0.247 0.494 0.000
0.395 0.158 0.837
0.744 0.744 0.529
0.594 0.445 0.250
0.842 0.605 0.337
0.667 0.333 0.875
0.333 0.667 0.625
0.158 0.763 0.163
0.841 0.841 0.115
0.753 0.247 0.000
0.000 0.744 0.471
0.247 0.753 0.000
0.256 0.256 0.471
0.000 0.852 0.250
0.494 0.247 0.000
0.842 0.605 0.163
0.000 0.000 0.500
0.273 0.000 0.250
0.000 0.000 0.000
0.000 0.273 0.250
0.273 0.273 0.750
0.000 0.727 0.750
0.727 0.000 0.750
0.727 0.727 0.250
0.530 0.000 0.904
0.000 0.530 0.904
0.470 0.470 0.904
0.000 0.530 0.596
0.470 0.470 0.596
0.470 0.000 0.404
0.530 0.530 0.096
0.530 0.530 0.404
0.000 0.470 0.404
0.470 0.000 0.096
0.530 0.000 0.596
0.000 0.470 0.096
```

Zn2CuW | PBE | relaxed

- E above lowest polymorph (eV per atom) = 0.115
- formation energy from the elements (eV/atom) = 0.219
- symmetry = P2/m

The structure in POSCAR format:
```
Zn2CuW
1.0
-2.010 0.597 1.543
-3.060 -2.393 -3.061
-1.236 -5.253 0.422
Zn Cu W
2 1 1
Direct
0.000 0.000 0.000
0.500 0.500 0.000
0.500 0.500 0.500
0.000 0.000 0.500
```

Er2InBi | PBE | relaxed

- E above lowest polymorph (eV per atom) = 0.030
- formation energy from the elements (eV/atom) = -0.456
- symmetry = R-3m

The structure in POSCAR format:
```
Er2InBi
1.0
4.170 0.000 0.000
2.085 3.611 0.000
2.085 1.204 8.085
Er Bi In
2 1 1
Direct
0.754 0.754 0.737
0.246 0.246 0.263
0.500 0.500 0.500
0.000 0.000 0.000
```

MgIn2Pb2 | PBE | relaxed

- E above lowest polymorph (eV per atom) = 0.115
- formation energy from the elements (eV/atom) = 0.181
- symmetry = I4/mmm

The structure in POSCAR format:
```
MgIn2Pb2
1.0
4.545 0.000 0.000
0.000 4.545 0.000
2.273 2.273 7.652
Pb In Mg
2 2 1
Direct
0.250 0.750 0.500
0.750 0.250 0.500
0.595 0.595 0.810
0.405 0.405 0.190
0.000 0.000 0.000
```

TlPtSN2 | PBE | relaxed

- E above lowest polymorph (eV per atom) = 1.225
- symmetry = P4/mmm
- formation energy without anion corrections (eV per atom) = 2.22

The structure in POSCAR format:
```
TlPtSN2
1.0
4.148 0.000 0.000
0.000 4.148 0.000
0.000 0.000 5.679
N S Tl Pt
2 1 1 1
Direct
0.500 0.000 0.000
0.000 0.500 0.000
0.000 0.000 0.500
0.000 0.000 0.000
0.500 0.500 0.500
```

AcSeS | PBE | relaxed

- E above lowest polymorph (eV per atom) = 0.332
- symmetry = I4mm
- formation energy without anion corrections (eV per atom) = -1.47

The structure in POSCAR format:
```
AcSeS
1.0
4.120 0.000 0.000
0.000 4.120 0.000
-2.060 -2.060 4.710
Se Ac S
1 1 1
Direct
0.312 0.312 0.624
0.661 0.661 0.322
0.027 0.027 0.053
```

Number 1: total magnetic moment 0.00 μB per formula unit, total energy -4.650 eV/atom. Number 2: total magnetic moment 0.00 μB per formula unit, total energy -4.681 eV/atom. Number 3: total magnetic moment 0.00 μB per formula unit, total energy -4.392 eV/atom. Number 4: total magnetic moment 0.00 μB per formula unit, total energy -2.716 eV/atom. Number 5: total magnetic moment 3.60 μB per formula unit, total energy -3.619 eV/atom. Number 6: total magnetic moment 0.00 μB per formula unit, total energy -5.374 eV/atom.